{
  "formula": "LiZrMo2",
  "functional": "meta-GGA SCAN",
  "state": "single point on PBEsol structure",
  "lattice": [[4.489, 0.000, 0.000], [2.245, 3.888, 0.000], [2.245, 1.296, 3.666]],
  "species": ["Mo", "Mo", "Li", "Zr"],
  "frac_coords": [[0.250, 0.250, 0.250], [0.750, 0.750, 0.750], [0.000, 0.000, 0.000], [0.500, 0.500, 0.500]],
  "magnetic_moment_mub_per_fu": 0.003,
  "formation_enthalpy_0k_mev_per_atom": 678,
  "sg": "Fm-3m, No. 225",
  "dos_ef_per_ev_fu": 5.93
}

=====

{
  "formula": "AlNiTe2",
  "functional": "meta-GGA SCAN",
  "state": "single point on PBEsol structure",
  "lattice": [[-0.518, 3.525, 0.595], [-2.454, -2.264, 1.377], [3.983, -0.479, 6.310]],
  "species": ["Ni", "Te", "Te", "Al"],
  "frac_coords": [[0.500, 0.500, 0.000], [0.000, 0.000, 0.225], [0.000, 0.000, 0.775], [0.500, 0.500, 0.500]],
  "e_form_raw_ev_per_atom": 0.2572,
  "magnetic_moment_mub_per_fu": 0.000,
  "sg": "Cmmm, No. 65",
  "dos_ef_per_ev_fu": 2.33
}

=====

{
  "formula": "CsAg2SCl",
  "functional": "meta-GGA SCAN",
  "state": "single point on PBEsol structure",
  "lattice": [[4.878, 0.000, 0.000], [0.000, 4.878, 0.000], [0.000, 0.000, 6.500]],
  "species": ["Cl", "Ag", "Ag", "S", "Cs"],
  "frac_coords": [[0.000, 0.000, 0.000], [0.500, 0.000, 0.000], [0.000, 0.500, 0.000], [0.000, 0.000, 0.500], [0.500, 0.500, 0.500]],
  "e_form_raw_ev_per_atom": 0.0617,
  "magnetic_moment_mub_per_fu": 0.627,
  "sg": "P4/mmm, No. 123",
  "dos_ef_per_ev_fu": 1.41
}